(1)
BePtS2N | PBE-GGA | optimized geometry

Summary:
Energy relative to the elements, uncorrected, meV per atom: 688
Offset from the most stable computed form, eV/f.u.: 0.00
Space-group type: P4/mmm

abc: 4.6651 4.6651 3.0242
angles: 90.00 90.00 90.00
Fractional coordinates of all 5 atoms:
Be (0.0000, 0.0000, 0.0000)
Pt (0.5000, 0.5000, 0.5000)
S (0.0000, 0.5000, 0.0000)
S (0.5000, 0.0000, 0.0000)
N (0.0000, 0.0000, 0.5000)

(2)
BePtSeN2 | PBE-GGA | optimized geometry

Summary:
Energy relative to the elements, uncorrected, meV per atom: 1164
Offset from the most stable computed form, eV/f.u.: 0.00
Space-group type: P4/mmm

abc: 3.6671 3.6671 8.8748
angles: 90.00 90.00 90.00
Fractional coordinates of all 5 atoms:
Be (0.0000, 0.0000, 0.0000)
Pt (0.5000, 0.5000, 0.5000)
Se (0.5000, 0.5000, 0.0000)
N (0.0000, 0.5000, 0.5000)
N (0.5000, 0.0000, 0.5000)

(3)
BePtSe2N | PBE-GGA | optimized geometry

Summary:
Energy relative to the elements, uncorrected, meV per atom: 895
Offset from the most stable computed form, eV/f.u.: 2.01
Space-group type: P4/mmm

abc: 5.1939 5.1939 3.6462
angles: 90.00 90.00 90.00
Fractional coordinates of all 5 atoms:
Be (0.0000, 0.0000, 0.0000)
Pt (0.5000, 0.5000, 0.5000)
Se (0.0000, 0.5000, 0.5000)
Se (0.5000, 0.0000, 0.5000)
N (0.5000, 0.5000, 0.0000)

(4)
BePtSe2N | PBE-GGA | optimized geometry

Summary:
Energy relative to the elements, uncorrected, meV per atom: 492
Offset from the most stable computed form, eV/f.u.: 0.00
Space-group type: P4/mmm

abc: 4.9468 4.9468 3.0152
angles: 90.00 90.00 90.00
Fractional coordinates of all 5 atoms:
Be (0.0000, 0.0000, 0.0000)
Pt (0.5000, 0.5000, 0.5000)
Se (0.0000, 0.5000, 0.0000)
Se (0.5000, 0.0000, 0.0000)
N (0.0000, 0.0000, 0.5000)